1.
Entry from Alexandria via LeMat-Bulk: a geometry-optimized PaH2IrO6 structure (GGA-PBE).

Its crystal system is triclinic. As for the total energy: -7.1740 eV per atom.

a = 4.997 Å, b = 5.180 Å, c = 5.607 Å
α = 68.60°, β = 64.92°, γ = 65.95°
Space group P-1 (No. 2)
Inequivalent atoms, fractional coordinates:
1 Pa 0.000 0.000 0.000 [1 per cell]
2 H 0.191 0.396 0.298 [2 per cell]
3 Ir 0.500 0.500 0.500 [1 per cell]
4 O 0.134 0.734 0.717 [2 per cell]
5 O 0.265 0.563 0.258 [2 per cell]
6 O 0.369 0.152 0.749 [2 per cell]

=====

2.
Entry from Alexandria via LeMat-Bulk: a geometry-optimized SrCd structure (GGA-PBE).

Its crystal system is tetragonal. As for the total energy: -1.4728 eV per atom.

a = 4.943 Å, b = 4.943 Å, c = 11.281 Å
α = 90.00°, β = 90.00°, γ = 90.00°
Space group I4_1/amd (No. 141, origin choice 2)
Inequivalent atoms, fractional coordinates:
1 Sr 0.000 0.250 0.375 [4 per cell]
2 Cd 0.000 0.250 0.875 [4 per cell]

=====

3.
Entry from Alexandria via LeMat-Bulk: a geometry-optimized Sr2MgGe3Pt4 structure (GGA-PBE).

Its crystal system is tetragonal. As for the total energy: -5.1251 eV per atom.

a = 4.420 Å, b = 4.420 Å, c = 10.494 Å
α = 90.00°, β = 90.00°, γ = 90.00°
Space group P-4m2 (No. 115)
Inequivalent atoms, fractional coordinates:
1 Sr 0.000 0.500 0.245 [2 per cell]
2 Mg 0.000 0.000 0.500 [1 per cell]
3 Ge 0.000 0.500 0.877 [2 per cell]
4 Ge 0.500 0.500 0.500 [1 per cell]
5 Pt 0.000 0.000 0.000 [1 per cell]
6 Pt 0.000 0.500 0.636 [2 per cell]
7 Pt 0.500 0.500 0.000 [1 per cell]

=====

4.
Entry from Alexandria via LeMat-Bulk: a geometry-optimized KFeIr2 structure (GGA-PBE).

For the distance to the lowest polymorph of the same formula, the calculation gives 0.261 eV per atom. Its crystal system is orthorhombic. As for the total energy: -6.1195 eV per atom.

a = 2.713 Å, b = 4.921 Å, c = 10.116 Å
α = 90.00°, β = 90.00°, γ = 90.00°
Space group Immm (No. 71)
Inequivalent atoms, fractional coordinates:
1 K 0.000 0.000 0.000 [2 per cell]
2 Fe 0.000 0.000 0.500 [2 per cell]
3 Ir 0.000 0.500 0.218 [4 per cell]

=====

5.
Entry from Alexandria via LeMat-Bulk: a geometry-optimized BTePtI2 structure (GGA-PBE).

For the distance to the lowest polymorph of the same formula, the calculation gives 0.046 eV per atom. Its crystal system is tetragonal. As for the total energy: -2.6247 eV per atom.

a = 4.852 Å, b = 4.852 Å, c = 5.014 Å
α = 90.00°, β = 90.00°, γ = 90.00°
Space group P4/mmm (No. 123)
Inequivalent atoms, fractional coordinates:
1 B 0.000 0.000 0.000 [1 per cell]
2 Te 0.000 0.000 0.500 [1 per cell]
3 Pt 0.500 0.500 0.500 [1 per cell]
4 I 0.000 0.500 0.000 [2 per cell]

=====

6.
Entry from Alexandria via LeMat-Bulk: a geometry-optimized PmPr12In6 structure (GGA-PBE).

Its crystal system is trigonal. As for the total energy: -4.3715 eV per atom.

a = 11.8845 Å, b = 11.8845 Å, c = 14.8446 Å
α = 90.00°, β = 90.00°, γ = 120.00°
Space group R-3 (No. 148, hexagonal axes)
Inequivalent atoms, fractional coordinates:
1 Pm 0.0000 0.0000 0.0000 [3 per cell]
2 Pr 0.0624 0.2194 0.4103 [18 per cell]
3 Pr 0.0685 0.8781 0.8059 [18 per cell]
4 In 0.0301 0.5911 0.7120 [18 per cell]